Record 1
VASP calculation (PBE-GGA) on a geometry-optimized La2InTeIr structure.

abc: 5.577 5.577 5.120
angles: 90.00 90.00 90.00
Fractional coordinates of all 5 atoms:
1 La 0.000 0.500 0.000
2 La 0.500 0.000 0.000
3 In 0.000 0.000 0.500
4 Te 0.500 0.500 0.500
5 Ir 0.000 0.000 0.000

## Properties
volume: 159.3 Å³/f.u.
magnetization: 0.00 μB per formula unit
DOS(E_F): 3.3 states/eV/cell
E_form (uncorrected): -820 meV per atom

***

Record 2
VASP calculation (PBE-GGA) on a geometry-optimized Na2PrInSb2 structure.

abc: 4.427 9.415 8.887
angles: 90.00 90.00 90.00
Fractional coordinates of all 12 atoms:
1 Na 0.000 0.081 0.000
2 Na 0.000 0.919 0.500
3 Na 0.500 0.192 0.296
4 Na 0.500 0.808 0.796
5 Pr 0.500 0.435 0.877
6 Pr 0.500 0.565 0.377
7 In 0.000 0.262 0.557
8 In 0.000 0.738 0.057
9 Sb 0.000 0.428 0.150
10 Sb 0.000 0.572 0.650
11 Sb 0.500 0.133 0.742
12 Sb 0.500 0.867 0.242

## Properties
volume: 185.2 Å³/f.u.
magnetization: 0.00 μB per formula unit
DOS(E_F): 1.6 states/eV/cell
E_form (uncorrected): -524 meV per atom

***

Record 3
VASP calculation (PBE-GGA) on a geometry-optimized Rb3NbOs structure.

abc: 6.458 6.458 6.458
angles: 90.00 90.00 90.00
Fractional coordinates of all 5 atoms:
1 Rb 0.000 0.000 0.500
2 Rb 0.000 0.500 0.000
3 Rb 0.500 0.000 0.000
4 Nb 0.500 0.500 0.500
5 Os 0.000 0.000 0.000

## Properties
volume: 269.3 Å³/f.u.
magnetization: 2.32 μB per formula unit
DOS(E_F): 17.0 states/eV/cell
E: -2.699 eV per atom

***

Record 4
VASP calculation (PBE-GGA) on a geometry-optimized U2NiGe4Ir3 structure.

abc: 4.173 4.173 10.182
angles: 90.00 90.00 90.00
Fractional coordinates of all 10 atoms:
1 U 0.000 0.500 0.249
2 U 0.500 0.000 0.751
3 Ni 0.000 0.000 0.500
4 Ge 0.000 0.000 0.000
5 Ge 0.000 0.500 0.628
6 Ge 0.500 0.000 0.372
7 Ge 0.500 0.500 0.000
8 Ir 0.000 0.500 0.866
9 Ir 0.500 0.000 0.134
10 Ir 0.500 0.500 0.500

## Properties
volume: 177.3 Å³/f.u.
magnetization: 4.62 μB per formula unit
DOS(E_F): 19.0 states/eV/cell
E: -7.761 eV per atom